Entry 1:
VASP calculation (PBEsol) on an optimized crystal structure of CaHfCr2Sn.

The formation energy comes out at 1165 meV/atom. The total magnetization is 8.5 μB/f.u. The value obtained for the total energy is -6.311 eV per atom. The value obtained for the calculated volume is 138.8 Å³/f.u.

Cell: 5.1005 5.1005 5.3356 Å, 90.00 90.00 90.00°
Each line ends with the local moment (μB).
Positions (direct):
Cr 0.0000 0.5000 0.0000  3.79
Cr 0.5000 0.0000 0.0000  3.79
Ca 0.5000 0.5000 0.5000  0.01
Hf 0.0000 0.0000 0.5000  -0.18
Sn 0.0000 0.0000 0.0000  -0.03

Entry 2:
VASP calculation (PBEsol) on an optimized crystal structure of Na3Fe2Ge3O12.

The uncorrected formation energy comes out at -1520 meV/atom. The total magnetization is 5.0 μB/f.u. The value obtained for the total energy is -6.516 eV per atom. The value obtained for the calculated volume is 214.9 Å³/f.u.

Cell: 10.3747 10.3747 10.3747 Å, 109.47 109.47 109.47°
Each line ends with the local moment (μB).
Positions (direct):
Na 0.2500 0.1250 0.8750  0.00
Na 0.7500 0.3750 0.6250  0.00
Na 0.3750 0.2500 0.6250  0.00
Na 0.1250 0.7500 0.8750  0.00
Na 0.1250 0.3750 0.7500  0.00
Na 0.3750 0.1250 0.2500  0.00
Na 0.7500 0.8750 0.1250  0.00
Na 0.2500 0.6250 0.3750  0.00
Na 0.6250 0.7500 0.3750  0.00
Na 0.8750 0.2500 0.1250  0.00
Na 0.8750 0.6250 0.2500  0.00
Na 0.6250 0.8750 0.7500  0.00
Fe 0.5000 0.0000 0.5000  2.04
Fe 0.0000 0.0000 0.5000  2.04
Fe 0.5000 0.0000 0.0000  2.04
Fe 0.0000 0.5000 0.0000  2.04
Fe 0.0000 0.0000 0.0000  2.04
Fe 0.0000 0.5000 0.5000  2.04
Fe 0.5000 0.5000 0.0000  2.04
Fe 0.5000 0.5000 0.5000  2.04
Ge 0.6250 0.3750 0.2500  0.01
Ge 0.3750 0.6250 0.7500  0.01
Ge 0.3750 0.7500 0.1250  0.01
Ge 0.7500 0.6250 0.8750  0.01
Ge 0.1250 0.2500 0.3750  0.01
Ge 0.2500 0.8750 0.6250  0.01
Ge 0.7500 0.1250 0.3750  0.01
Ge 0.2500 0.3750 0.1250  0.01
Ge 0.8750 0.7500 0.6250  0.01
Ge 0.6250 0.2500 0.8750  0.01
Ge 0.1250 0.8750 0.2500  0.01
Ge 0.8750 0.1250 0.7500  0.01
O 0.4856 0.3082 0.8887  0.05
O 0.1774 0.5805 0.6918  0.05
O 0.1918 0.1774 0.0805  0.05
O 0.5805 0.1918 0.6774  0.05
O 0.1113 0.1918 0.5144  0.05
O 0.3226 0.0144 0.4031  0.05
O 0.1774 0.5969 0.9856  0.05
O 0.5969 0.1113 0.4195  0.05
O 0.3887 0.9031 0.0805  0.05
O 0.5805 0.3887 0.4031  0.05
O 0.5969 0.4856 0.6774  0.05
O 0.9031 0.5805 0.8887  0.05
O 0.0144 0.1113 0.6918  0.05
O 0.1918 0.0144 0.6113  0.05
O 0.4856 0.1774 0.0969  0.05
O 0.3082 0.9195 0.8226  0.05
O 0.9195 0.3226 0.8082  0.05
O 0.0144 0.9031 0.8226  0.05
O 0.9195 0.5969 0.6113  0.05
O 0.6113 0.0969 0.9195  0.05
O 0.3887 0.4856 0.8082  0.05
O 0.9031 0.3226 0.5144  0.05
O 0.3082 0.3887 0.9856  0.05
O 0.3226 0.3082 0.4195  0.05
O 0.5144 0.6918 0.1113  0.05
O 0.8226 0.4195 0.3082  0.05
O 0.8082 0.8226 0.9195  0.05
O 0.4195 0.8082 0.3226  0.05
O 0.8887 0.8082 0.4856  0.05
O 0.6774 0.9856 0.5969  0.05
O 0.8226 0.4031 0.0144  0.05
O 0.4031 0.8887 0.5805  0.05
O 0.6774 0.6918 0.5805  0.05
O 0.6918 0.6113 0.0144  0.05
O 0.0969 0.6774 0.4856  0.05
O 0.8887 0.0805 0.9031  0.05
O 0.6113 0.5144 0.1918  0.05
O 0.0805 0.4031 0.3887  0.05
O 0.9856 0.0969 0.1774  0.05
O 0.0805 0.6774 0.1918  0.05
O 0.6918 0.0805 0.1774  0.05
O 0.5144 0.8226 0.9031  0.05
O 0.8082 0.9856 0.3887  0.05
O 0.9856 0.8887 0.3082  0.05
O 0.0969 0.4195 0.1113  0.05
O 0.4031 0.5144 0.3226  0.05
O 0.4195 0.6113 0.5969  0.05
O 0.1113 0.9195 0.0969  0.05

Entry 3:
VASP calculation (PBEsol) on an optimized crystal structure of MnNiP3.

The formation energy comes out at 694 meV/atom. The total magnetization is 3.4 μB/f.u. The value obtained for the total energy is -5.965 eV per atom. The value obtained for the calculated volume is 81.8 Å³/f.u.

Cell: 4.3406 4.3406 4.3406 Å, 90.00 90.00 90.00°
Each line ends with the local moment (μB).
Positions (direct):
Ni 0.0000 0.0000 0.0000  -0.14
Mn 0.5000 0.5000 0.5000  4.02
P 0.0000 0.5000 0.0000  -0.13
P 0.0000 0.0000 0.5000  -0.13
P 0.5000 0.0000 0.0000  -0.13

Entry 4:
VASP calculation (PBEsol) on an optimized crystal structure of InTcNi2.

The formation energy comes out at 162 meV/atom. The total magnetization is 0.0 μB/f.u. The value obtained for the total energy is -6.479 eV per atom. The value obtained for the calculated volume is 53.6 Å³/f.u.

Cell: 2.7326 4.4271 4.4271 Å, 90.00 90.00 90.00°
Positions (direct):
In 0.5000 0.0000 0.0000
Ni 0.0000 0.0000 0.5000
Ni 0.0000 0.5000 0.0000
Tc 0.5000 0.5000 0.5000